# 1
The following is a GGA-PBE calculation of a geometry-optimized NpIn2Ge3Pt4 structure, from the Alexandria database.

Results
N(E_F) (states/eV/cell): 9.97
Total magnetic moment (μB/f.u.): 3.748
E_form (eV per atom): -0.289

Geometry as POSCAR:
```
NpIn2Ge3Pt4
1.0
4.196 0.000 0.000
0.000 4.196 0.000
0.000 0.000 11.606
In Ge Pt Np
2 3 4 1
direct
0.500 0.000 0.266
0.000 0.500 0.734
0.500 0.000 0.876
0.000 0.500 0.124
0.000 0.000 0.500
0.500 0.000 0.665
0.500 0.500 0.000
0.000 0.000 0.000
0.000 0.500 0.335
0.500 0.500 0.500
```

# 2
The following is a GGA-PBE calculation of a geometry-optimized Np2InGe3Pt4 structure, from the Alexandria database.

Results
N(E_F) (states/eV/cell): 20.13
Total magnetic moment (μB/f.u.): 8.336
E_form (eV per atom): -0.490

Geometry as POSCAR:
```
Np2InGe3Pt4
1.0
-4.133 -0.388 0.428
-0.261 -1.500 -3.886
1.389 -10.446 3.938
Pt Ge Np In
4 3 2 1
direct
0.000 0.500 0.345
0.000 0.000 0.000
0.500 0.000 0.655
0.500 0.500 0.000
0.000 0.500 0.130
0.000 0.000 0.500
0.500 0.000 0.870
0.000 0.500 0.760
0.500 0.000 0.240
0.500 0.500 0.500
```

# 3
The following is a GGA-PBE calculation of a geometry-optimized Np2InGe2Rh5 structure, from the Alexandria database.

Results
N(E_F) (states/eV/cell): 54.95
Total magnetic moment (μB/f.u.): 7.753
E_form (eV per atom): -0.399

Geometry as POSCAR:
```
Np2InGe2Rh5
1.0
3.644 0.000 0.000
0.000 9.865 0.000
0.000 0.000 9.865
Rh In Np Ge
10 2 4 4
direct
0.500 0.789 0.932
0.500 0.432 0.289
0.500 0.932 0.211
0.500 0.289 0.568
0.500 0.000 0.500
0.500 0.500 0.000
0.500 0.211 0.068
0.500 0.068 0.789
0.500 0.568 0.711
0.500 0.711 0.432
0.000 0.000 0.000
0.000 0.500 0.500
0.000 0.675 0.175
0.000 0.175 0.325
0.000 0.325 0.825
0.000 0.825 0.675
0.000 0.377 0.123
0.000 0.123 0.623
0.000 0.877 0.377
0.000 0.623 0.877
```